(1)
Compound: ErIr2Rh3
Source: the Alexandria database
Functional: PBE
Structure: relaxed

abc: 7.4017 7.4017 4.6145
angles: 90.00 90.00 120.00
Sites, in units of the cell vectors:
Er 0.3333 0.6667 0.3518
Er 0.6667 0.3333 0.6482
Ir 0.0000 0.0000 0.0000
Ir 0.0000 0.5000 0.0000
Ir 0.5000 0.0000 0.0000
Ir 0.5000 0.5000 0.0000
Rh 0.1558 0.3115 0.7008
Rh 0.1558 0.8442 0.7008
Rh 0.3115 0.1558 0.2992
Rh 0.6885 0.8442 0.7008
Rh 0.8442 0.1558 0.2992
Rh 0.8442 0.6885 0.2992

Values from the calculation:
Total DFT energy (no corrections) in eV/cell: -84.2
Energy of formation from the pure elements in meV per atom: 370.0
Crystal system: trigonal
Total magnetic moment in μB per formula unit: 0.00
V in Å³/atom: 18.2

---

(2)
Compound: SmReTc
Source: the Alexandria database
Functional: PBE
Structure: relaxed

abc: 6.3619 6.3619 6.3619
angles: 151.48 151.48 40.77
Sites, in units of the cell vectors:
Sm 0.0000 0.0000 0.0000
Re 0.3054 0.3054 0.0000
Tc 0.6978 0.6978 0.0000

Values from the calculation:
ΔE to the lowest computed polymorph in meV per atom: 0
Total DFT energy (no corrections) in eV/cell: -27.1
Energy of formation from the pure elements in meV per atom: 147.4
Crystal system: tetragonal
Total magnetic moment in μB per formula unit: 0.00
V in Å³/atom: 19.5

---

(3)
Compound: Zr2BeIr
Source: the Alexandria database
Functional: PBE
Structure: relaxed

abc: 3.3032 3.3032 6.3007
angles: 90.00 90.00 90.00
Sites, in units of the cell vectors:
Zr 0.0000 0.0000 0.2432
Zr 0.0000 0.0000 0.7568
Be 0.5000 0.5000 0.0000
Ir 0.5000 0.5000 0.5000

Values from the calculation:
Total DFT energy (no corrections) in eV/cell: -31.5
Energy of formation from the pure elements in meV per atom: -449.2
Crystal system: tetragonal
Total magnetic moment in μB per formula unit: 0.00
V in Å³/atom: 17.2

---

(4)
Compound: Pr3Er7Th
Source: the Alexandria database
Functional: PBE
Structure: relaxed

abc: 7.0363 7.0363 8.7553
angles: 90.00 90.00 120.00
Sites, in units of the cell vectors:
Pr 0.0035 0.5017 0.0000
Pr 0.4983 0.5017 0.0000
Pr 0.4983 0.9965 0.0000
Er 0.1685 0.3370 0.6575
Er 0.1685 0.8315 0.6575
Er 0.3340 0.1670 0.3374
Er 0.6630 0.8315 0.6575
Er 0.6667 0.3333 0.6576
Er 0.8330 0.1670 0.3374
Er 0.8330 0.6660 0.3374
Th 0.3333 0.6667 0.3385

Values from the calculation:
Total DFT energy (no corrections) in eV/cell: -51.8
Energy of formation from the pure elements in meV per atom: 174.4
Crystal system: trigonal
Total magnetic moment in μB per formula unit: 0.00
V in Å³/atom: 34.1

---

(5)
Compound: LiNiTe2
Source: the Alexandria database
Functional: PBE
Structure: relaxed

abc: 6.9209 6.9209 6.9209
angles: 124.84 124.84 81.81
Sites, in units of the cell vectors:
Li 0.0000 0.0000 0.0000
Li 0.7500 0.2500 0.5000
Ni 0.2500 0.7500 0.5000
Ni 0.5000 0.5000 0.0000
Te 0.1691 0.6250 0.0441
Te 0.3750 0.4191 0.5441
Te 0.5809 0.1250 0.9559
Te 0.8750 0.8309 0.4559

Values from the calculation:
Total DFT energy (no corrections) in eV/cell: -30.2
Crystal system: tetragonal
Total magnetic moment in μB per formula unit: 0.00
ΔE_f (raw) in eV per atom: -0.278
V in Å³/atom: 26.9

---

(6)
Compound: Zr2AlAu3
Source: the Alexandria database
Functional: PBE
Structure: relaxed

abc: 9.3248 8.5998 5.5335
angles: 79.33 65.00 35.67
Sites, in units of the cell vectors:
Zr 0.2456 0.7544 0.7544
Zr 0.2500 0.2500 0.2500
Zr 0.7500 0.7500 0.7500
Zr 0.7544 0.2456 0.2456
Al 0.3328 0.3328 0.6672
Al 0.6672 0.6672 0.3328
Au 0.1715 0.1715 0.8285
Au 0.1743 0.6532 0.3468
Au 0.3468 0.8257 0.1743
Au 0.6532 0.1743 0.8257
Au 0.8257 0.3468 0.6532
Au 0.8285 0.8285 0.1715

Values from the calculation:
Total DFT energy (no corrections) in eV/cell: -68.3
Energy of formation from the pure elements in meV per atom: -577.1
Crystal system: orthorhombic
Total magnetic moment in μB per formula unit: 0.00
V in Å³/atom: 18.6

---

(7)
Compound: Mo5As3
Source: the Alexandria database
Functional: PBE
Structure: relaxed

abc: 5.5071 7.2356 7.2838
angles: 83.28 70.33 69.26
Sites, in units of the cell vectors:
Mo 0.0126 0.2171 0.1629
Mo 0.2089 0.7884 0.1661
Mo 0.2546 0.0249 0.4737
Mo 0.2983 0.3308 0.7113
Mo 0.4439 0.3304 0.2999
Mo 0.5561 0.6696 0.7001
Mo 0.7017 0.6692 0.2887
Mo 0.7454 0.9751 0.5263
Mo 0.7911 0.2116 0.8339
Mo 0.9874 0.7829 0.8371
As 0.1962 0.6544 0.5003
As 0.2554 0.4670 0.0239
As 0.2991 0.0011 0.8500
As 0.7009 0.9989 0.1500
As 0.7446 0.5330 0.9761
As 0.8038 0.3456 0.4997

Values from the calculation:
ΔE to the lowest computed polymorph in meV per atom: 0
Total DFT energy (no corrections) in eV/cell: -136.9
Energy of formation from the pure elements in meV per atom: -42.2
Crystal system: triclinic
Total magnetic moment in μB per formula unit: 0.00
V in Å³/atom: 16.0

---

(8)
Compound: Tl2SiSb
Source: the Alexandria database
Functional: PBE
Structure: relaxed

abc: 3.6796 3.6796 8.1487
angles: 90.00 90.00 90.00
Sites, in units of the cell vectors:
Tl 0.0000 0.0000 0.0000
Tl 0.5000 0.5000 0.3166
Si 0.5000 0.5000 0.7454
Sb 0.0000 0.0000 0.6018

Values from the calculation:
ΔE to the lowest computed polymorph in meV per atom: 54
Total DFT energy (no corrections) in eV/cell: -13.5
Crystal system: tetragonal
Total magnetic moment in μB per formula unit: 0.00
ΔE_f (raw) in eV per atom: 0.205
V in Å³/atom: 27.6